[1]
The following is a DFT calculation (GGA-PBEsol) of LiTcSn2Pd after structural relaxation.

POSCAR file:
```
LiTcSn2Pd
1.0
4.311 0.000 0.000
0.000 5.002 0.000
0.000 0.000 5.002
Pd Li Sn Tc
1 1 2 1
Cartesian
0.000 0.000 0.000 Pd
2.156 0.000 0.000 Li
0.000 0.000 2.501 Sn
0.000 2.501 0.000 Sn
2.156 2.501 2.501 Tc
```

- calculated formation energy (kJ/mol of atoms) = 61.9
- DOS at the Fermi energy (states/eV/cell) = 3.3


[2]
The following is a DFT calculation (GGA-PBEsol) of SbC2Se after structural relaxation.

POSCAR file:
```
SbC2Se
1.0
-4.127 -0.794 -0.244
-1.642 -1.530 -3.562
-1.374 -3.977 -0.146
Sb C Se
1 2 1
Cartesian
-3.572 -3.151 -1.976 Sb
-5.357 -4.726 -2.964 C
-1.786 -1.575 -0.988 C
0.000 0.000 0.000 Se
```

- DOS at the Fermi energy (states/eV/cell) = 2.3
- formation energy without anion corrections (eV per atom) = 2.309


Number 1: DFT total energy -24.5 eV/f.u., spin magnetization 3.011 μB per cell. Number 2: DFT total energy -18.5 eV/f.u., spin magnetization 0.000 μB per cell.